# Ac5InGe2

A geometry-optimized Ac5InGe2 structure (PBE, Alexandria via LeMat-Bulk).

Summary:
mass density	8.2	g cm⁻³
formation energy	-4.2	eV/f.u.
excess energy over the best structure of this formula in the dataset	0.000	eV/atom
symmetry	I4/mcm

Geometry as POSCAR:
```
Ac5InGe2
1.0
7.785 0.000 -3.675
-1.735 7.589 -3.675
-0.151 -0.190 9.763
Ac In Ge
10 2 4
Direct
0.524 0.696 0.720
0.804 0.976 0.280
0.000 0.000 0.000
0.500 0.500 0.000
0.196 0.024 0.720
0.696 0.196 0.720
0.024 0.524 0.720
0.304 0.804 0.280
0.976 0.476 0.280
0.476 0.304 0.280
0.750 0.750 0.500
0.250 0.250 0.500
0.139 0.361 0.000
0.639 0.139 0.000
0.361 0.861 0.000
0.861 0.639 0.000
```

=====

# LiNi4Mo

A geometry-optimized LiNi4Mo structure (PBE, Alexandria via LeMat-Bulk).

Summary:
mass density	8.0	g cm⁻³
formation energy	0.1	eV/f.u.
excess energy over the best structure of this formula in the dataset	0.000	eV/atom
symmetry	C2/m

Geometry as POSCAR:
```
LiNi4Mo
1.0
-1.104 3.279 2.769
4.122 -4.029 0.288
6.059 3.880 -2.423
Li Ni Mo
2 8 2
Direct
0.250 0.000 0.250
0.750 0.000 0.750
0.000 0.500 0.167
0.500 0.500 0.333
0.000 0.500 0.833
0.500 0.500 0.667
0.252 0.000 0.583
0.248 0.000 0.917
0.748 0.000 0.417
0.752 0.000 0.083
0.500 0.500 0.000
0.000 0.500 0.500
```